MnSbOsPt2, optimized geometry, DFT GGA-PBE; formation energy from raw total energies = 9.7 eV/f.u.
1.0
-4.5430 1.7062 -0.2278
-1.2719 -2.8877 3.7364
1.1691 3.5301 3.1262
Sb Mn Os Pt
1 1 1 2
Cartesian
0.0000 0.0000 0.0000 Sb
-2.3229 1.1743 3.3174 Mn
-0.6359 -1.4439 1.8682 Os
0.5845 1.7651 1.5631 Pt
-2.2715 0.8531 -0.1139 Pt